{
  "formula": "CsMoPt3",
  "functional": "GGA-PBE",
  "state": "relaxed",
  "ef_ev_per_atom": 2.511,
  "relative_energy_mev_per_atom": 1824,
  "m_tot_mub_per_fu": 4.359,
  "volume_a3_per_cell": 137.03,
  "lattice_angstrom": [[5.156, 0.000, 0.000], [0.000, 5.156, 0.000], [0.000, 0.000, 5.156]],
  "species": ["Cs", "Mo", "Pt", "Pt", "Pt"],
  "frac_coords": [[0.000, 0.000, 0.000], [0.500, 0.500, 0.500], [0.000, 0.000, 0.500], [0.000, 0.500, 0.000], [0.500, 0.000, 0.000]]
}